(1)
Density functional theory data (PBE) for an optimized crystal structure of LiBeTe2N.

a = 5.1221 Å, b = 5.1221 Å, c = 3.4145 Å
α = 90.00°, β = 90.00°, γ = 90.00°
Sites, in units of the cell vectors:
Be  0.5000  0.5000  0.5000
Te  0.0000  0.5000  0.0000
Te  0.5000  0.0000  0.0000
Li  0.0000  0.0000  0.0000
N  0.0000  0.0000  0.5000

Summary:
Total DFT energy (no corrections) ... -0.2193 Ry/atom
Crystal system ... tetragonal
SG ... P4/mmm
Total magnetization ... 0.03 μB per formula unit

(2)
Density functional theory data (PBE) for an optimized crystal structure of Y2Ni2Pb.

a = 3.5385 Å, b = 3.5385 Å, c = 9.1865 Å
α = 78.90°, β = 78.90°, γ = 90.00°
Sites, in units of the cell vectors:
Pb  0.0000  0.0000  0.0000
Y  0.3702  0.3702  0.2596
Y  0.6298  0.6298  0.7404
Ni  0.7500  0.2500  0.5000
Ni  0.2500  0.7500  0.5000

Summary:
Total DFT energy (no corrections) ... -0.4345 Ry/atom
Crystal system ... tetragonal
SG ... I4/mmm
Total magnetization ... 0.00 μB per formula unit

(3)
Density functional theory data (PBE) for an optimized crystal structure of Th3CuNi4.

a = 3.9816 Å, b = 4.0115 Å, c = 10.7287 Å
α = 111.34°, β = 100.69°, γ = 90.00°
Sites, in units of the cell vectors:
Th  0.0000  0.5000  0.0000
Th  0.1628  0.3072  0.3255
Th  0.8372  0.6928  0.6745
Cu  0.5000  0.0000  0.0000
Ni  0.4051  0.3938  0.8102
Ni  0.5949  0.6062  0.1898
Ni  0.7150  0.9375  0.4300
Ni  0.2850  0.0625  0.5700

Summary:
Total DFT energy (no corrections) ... -0.4780 Ry/atom
Crystal system ... monoclinic
SG ... C2/m
Total magnetization ... 0.00 μB per formula unit

(4)
Density functional theory data (PBE) for an optimized crystal structure of ReAg2As.

a = 9.6156 Å, b = 9.6156 Å, c = 9.6156 Å
α = 17.23°, β = 17.23°, γ = 17.23°
Sites, in units of the cell vectors:
Re  0.7500  0.7500  0.7500
As  0.2500  0.2500  0.2500
Ag  0.0009  0.0009  0.0009
Ag  0.4991  0.4991  0.4991

Summary:
Total DFT energy (no corrections) ... -0.3787 Ry/atom
Crystal system ... trigonal
SG ... R-3m
Total magnetization ... 0.00 μB per formula unit

(5)
Density functional theory data (PBE) for an optimized crystal structure of SmCd11Ni.

a = 5.6231 Å, b = 7.5458 Å, c = 7.6719 Å
α = 82.57°, β = 68.50°, γ = 69.34°
Sites, in units of the cell vectors:
Sm  0.0000  0.0000  0.0000
Cd  0.3052  0.2170  0.2038
Cd  0.6948  0.7830  0.7962
Cd  0.4910  0.7830  0.2038
Cd  0.5090  0.2170  0.7962
Cd  0.3599  0.6396  0.6630
Cd  0.6401  0.3604  0.3370
Cd  0.9771  0.3604  0.6630
Cd  0.0229  0.6396  0.3370
Cd  0.0000  0.5000  0.0000
Cd  0.5000  0.0000  0.5000
Cd  0.0000  0.0000  0.5000
Ni  0.5000  0.5000  0.0000

Summary:
Total DFT energy (no corrections) ... -0.1230 Ry/atom
Crystal system ... monoclinic
SG ... C2/m
Total magnetization ... 0.00 μB per formula unit

(6)
Density functional theory data (PBE) for an optimized crystal structure of NdZn9Rh2.

a = 3.0440 Å, b = 8.7057 Å, c = 8.7057 Å
α = 120.00°, β = 90.00°, γ = 90.00°
Sites, in units of the cell vectors:
Nd  0.0000  0.0000  0.0000
Zn  0.5000  0.8116  0.1884
Zn  0.0000  0.0000  0.5000
Zn  0.0000  0.5000  0.5000
Zn  0.5000  0.8116  0.6231
Zn  0.5000  0.1884  0.8116
Zn  0.5000  0.6231  0.8116
Zn  0.5000  0.1884  0.3769
Zn  0.0000  0.5000  0.0000
Zn  0.5000  0.3769  0.1884
Rh  0.0000  0.6667  0.3333
Rh  0.0000  0.3333  0.6667

Summary:
Total DFT energy (no corrections) ... -0.2079 Ry/atom
Crystal system ... hexagonal
SG ... P6/mmm
Total magnetization ... 0.00 μB per formula unit

(7)
Density functional theory data (PBE) for an optimized crystal structure of NbNiSn2.

a = 7.2871 Å, b = 7.2871 Å, c = 5.9509 Å
α = 52.25°, β = 52.25°, γ = 90.00°
Sites, in units of the cell vectors:
Ni  0.5000  0.5000  0.0000
Ni  0.2500  0.7500  0.5000
Nb  0.0000  0.0000  0.0000
Nb  0.7500  0.2500  0.5000
Sn  0.5819  0.1250  0.2500
Sn  0.1681  0.6250  0.2500
Sn  0.3750  0.4181  0.7500
Sn  0.8750  0.8319  0.7500

Summary:
Total DFT energy (no corrections) ... -0.4219 Ry/atom
Crystal system ... tetragonal
SG ... I-42d
Total magnetization ... 0.00 μB per formula unit

(8)
Density functional theory data (PBE) for an optimized crystal structure of LaCo2Au.

a = 3.4298 Å, b = 3.4298 Å, c = 6.3262 Å
α = 90.00°, β = 90.00°, γ = 90.00°
Each line ends with the local moment (μB).
Sites, in units of the cell vectors:
Au  0.5000  0.5000  0.7500  0.01
Co  0.0000  0.0000  0.9360  1.54
Co  0.0000  0.0000  0.5640  1.54
La  0.5000  0.5000  0.2500  -0.19

Summary:
Total DFT energy (no corrections) ... -0.3969 Ry/atom
Crystal system ... tetragonal
SG ... P4/mmm
Total magnetization ... 2.71 μB per formula unit

| no. | N(E_F) (states/eV/f.u.) | calculated volume (Å³ per cell) |
| --- | --- | --- |
| 1 | 3.605 | 89.6 |
| 2 | 4.297 | 110.7 |
| 3 | 7.455 | 156.4 |
| 4 | 5.201 | 68.1 |
| 5 | 5.748 | 283.4 |
| 6 | 6.286 | 199.8 |
| 7 | 3.901 | 158.1 |
| 8 | 7.054 | 74.4 |